Arrangement i

The following is a DFT calculation (PBE) of an optimized crystal structure of Re9Ni4.

a = 9.2455 Å, b = 9.2455 Å, c = 9.2455 Å
α = 31.66°, β = 31.66°, γ = 31.66°
Element x y z (fractional)
Re 0.4178 0.9118 0.9118
Re 0.0000 0.0000 0.0000
Re 0.0882 0.5822 0.0882
Re 0.0882 0.0882 0.5822
Ni 0.3419 0.3419 0.3419
Re 0.4530 0.4530 0.4530
Re 0.9118 0.4178 0.9118
Ni 0.1645 0.1645 0.1645
Re 0.5822 0.0882 0.0882
Re 0.5470 0.5470 0.5470
Ni 0.6581 0.6581 0.6581
Ni 0.8355 0.8355 0.8355
Re 0.9118 0.9118 0.4178

Calculated values
- Mass density: 16409 kg/m³
- Calculated volume: 14.9 Å³/atom
- SG: R-3m

Arrangement ii

The following is a DFT calculation (PBE) of an optimized crystal structure of Re9Ni4.

a = 9.2151 Å, b = 9.2151 Å, c = 9.2151 Å
α = 31.78°, β = 31.78°, γ = 31.78°
Element x y z (fractional)
Re 0.8368 0.8368 0.8368
Re 0.5795 0.0915 0.0915
Re 0.1632 0.1632 0.1632
Re 0.4205 0.9085 0.9085
Re 0.0915 0.0915 0.5795
Re 0.9085 0.9085 0.4205
Ni 0.3554 0.3554 0.3554
Re 0.0915 0.5795 0.0915
Re 0.9085 0.4205 0.9085
Re 0.0000 0.0000 0.0000
Ni 0.6446 0.6446 0.6446
Ni 0.4523 0.4523 0.4523
Ni 0.5477 0.5477 0.5477

Calculated values
- Mass density: 16456 kg/m³
- Calculated volume: 14.8 Å³/atom
- SG: R-3m

Which of them is the least stable? Correct choice: arrangement ii.

Arrangement i

The following is a DFT calculation (PBE) of an optimized crystal structure of TmReNi.

a = 4.4101 Å, b = 4.4101 Å, c = 4.4101 Å
α = 60.00°, β = 60.00°, γ = 60.00°
Element x y z (fractional)
Re 0.7500 0.7500 0.7500
Tm 0.0000 0.0000 0.0000
Ni 0.2500 0.2500 0.2500

Calculated values
- Mass density: 11331 kg/m³
- Calculated volume: 20.2 Å³/atom
- SG: F-43m

Arrangement ii

The following is a DFT calculation (PBE) of an optimized crystal structure of TmReNi.

a = 4.2967 Å, b = 4.2967 Å, c = 4.2967 Å
α = 60.00°, β = 60.00°, γ = 60.00°
Element x y z (fractional)
Tm 0.7500 0.7500 0.7500
Re 0.2500 0.2500 0.2500
Ni 0.0000 0.0000 0.0000

Calculated values
- Mass density: 12251 kg/m³
- Calculated volume: 18.7 Å³/atom
- SG: F-43m

Which of them is the least stable? Correct choice: arrangement i.

Arrangement i

The following is a DFT calculation (PBE) of an optimized crystal structure of ZrRe2Ni.

a = 4.4825 Å, b = 5.4462 Å, c = 5.4462 Å
α = 66.85°, β = 90.00°, γ = 90.00°
Element x y z (fractional)
Ni 0.5000 0.3333 0.3333
Re 0.5000 0.4007 0.8363
Ni 0.0000 0.6499 0.6499
Re 0.5000 0.8363 0.4007
Re 0.5000 0.8775 0.8775
Zr 0.0000 0.6260 0.1464
Zr 0.0000 0.1464 0.6260
Re 0.0000 0.1298 0.1298

Calculated values
- Mass density: 14190 kg/m³
- Calculated volume: 15.3 Å³/atom
- SG: Amm2

Arrangement ii

The following is a DFT calculation (PBE) of an optimized crystal structure of ZrRe2Ni.

a = 4.4345 Å, b = 4.4345 Å, c = 4.4345 Å
α = 60.00°, β = 60.00°, γ = 60.00°
Element x y z (fractional)
Zr 0.2500 0.2500 0.2500
Re 0.7500 0.7500 0.7500
Re 0.0000 0.0000 0.0000
Ni 0.5000 0.5000 0.5000

Calculated values
- Mass density: 14066 kg/m³
- Calculated volume: 15.4 Å³/atom
- SG: F-43m

Which of them is the least stable? Correct choice: arrangement ii.

Arrangement i

The following is a DFT calculation (PBE) of an optimized crystal structure of Zr3Re3Ni2.

a = 4.6232 Å, b = 5.6518 Å, c = 5.6518 Å
α = 62.71°, β = 90.00°, γ = 90.00°
Element x y z (fractional)
Ni 0.5000 0.3312 0.3312
Re 0.5000 0.8641 0.3159
Zr 0.0000 0.6474 0.1874
Ni 0.0000 0.6753 0.6753
Re 0.5000 0.3159 0.8641
Zr 0.5000 0.8253 0.8253
Zr 0.0000 0.1874 0.6474
Re 0.0000 0.1534 0.1534

Calculated values
- Mass density: 12016 kg/m³
- Calculated volume: 16.4 Å³/atom
- SG: Amm2

Arrangement ii

The following is a DFT calculation (PBE) of an optimized crystal structure of Zr3Re3Ni2.

a = 5.4585 Å, b = 4.5129 Å, c = 5.7401 Å
α = 90.00°, β = 112.24°, γ = 90.00°
Element x y z (fractional)
Zr 0.3706 0.5000 0.1225
Ni 0.3420 0.5000 0.6548
Re 0.1238 0.0000 0.8737
Ni 0.6579 0.0000 0.3377
Re 0.8589 0.5000 0.1113
Zr 0.8393 0.5000 0.6208
Zr 0.1659 0.0000 0.3949
Re 0.6417 0.0000 0.8843

Calculated values
- Mass density: 12049 kg/m³
- Calculated volume: 16.4 Å³/atom
- SG: Pm

Which of them is the least stable? Correct choice: arrangement i.

Arrangement i

The following is a DFT calculation (PBE) of an optimized crystal structure of Ni3Se2S2.

a = 6.3301 Å, b = 6.3301 Å, c = 8.0100 Å
α = 121.84°, β = 121.84°, γ = 68.08°
Element x y z (fractional)
Se 0.9549 0.5026 0.6419
S 0.4327 0.4327 0.1698
Ni 0.3498 0.3498 0.8363
Se 0.0451 0.4974 0.3581
Ni 0.5000 0.0000 0.0000
S 0.9270 0.9270 0.1594
Ni 0.6502 0.6502 0.1637
S 0.0730 0.0730 0.8406
Ni 0.8198 0.1802 0.0000
Ni 0.1802 0.8198 0.0000
Se 0.4974 0.0451 0.3581
Ni 0.0000 0.5000 0.0000
Se 0.5026 0.9549 0.6419
S 0.5673 0.5673 0.8302

Calculated values
- Mass density: 5758 kg/m³
- Calculated volume: 16.4 Å³/atom
- SG: C2/m

Arrangement ii

The following is a DFT calculation (PBE) of an optimized crystal structure of Ni3Se2S2.

a = 5.1766 Å, b = 5.1766 Å, c = 5.1766 Å
α = 66.74°, β = 66.74°, γ = 66.74°
Element x y z (fractional)
Se 0.2048 0.2048 0.2048
Se 0.7952 0.7952 0.7952
S 0.0000 0.0000 0.0000
Ni 0.5000 0.0000 0.5000
Ni 0.0000 0.5000 0.5000
Ni 0.5000 0.5000 0.0000
S 0.5000 0.5000 0.5000

Calculated values
- Mass density: 5888 kg/m³
- Calculated volume: 16.0 Å³/atom
- SG: R-3m

Which of them is the least stable? Correct choice: arrangement ii.

Arrangement i

The following is a DFT calculation (PBE) of an optimized crystal structure of NiSeS.

a = 5.7821 Å, b = 5.7821 Å, c = 5.7821 Å
α = 90.00°, β = 90.00°, γ = 90.00°
Element x y z (fractional)
S 0.6127 0.3873 0.8873
Se 0.8834 0.8834 0.8834
Se 0.1166 0.3834 0.6166
S 0.1127 0.1127 0.1127
S 0.3873 0.8873 0.6127
Ni 0.0101 0.9899 0.4899
Ni 0.5101 0.5101 0.5101
Ni 0.9899 0.4899 0.0101
Ni 0.4899 0.0101 0.9899
S 0.8873 0.6127 0.3873
Se 0.3834 0.6166 0.1166
Se 0.6166 0.1166 0.3834

Calculated values
- Mass density: 5831 kg/m³
- Calculated volume: 16.1 Å³/atom
- SG: P2_13

Arrangement ii

The following is a DFT calculation (PBE) of an optimized crystal structure of NiSeS.

a = 3.5024 Å, b = 9.2932 Å, c = 9.2932 Å
α = 141.69°, β = 90.00°, γ = 90.00°
Element x y z (fractional)
S 0.0000 0.6906 0.8097
Ni 0.5000 0.5729 0.5729
Se 0.5000 0.3235 0.1714
S 0.0000 0.8097 0.6906
Ni 0.0000 0.0880 0.0880
Se 0.5000 0.1714 0.3235

Calculated values
- Mass density: 3006 kg/m³
- Calculated volume: 31.3 Å³/atom
- SG: Amm2

Arrangement iii

The following is a DFT calculation (PBE) of an optimized crystal structure of NiSeS.

a = 9.6911 Å, b = 9.6911 Å, c = 6.0432 Å
α = 90.00°, β = 90.00°, γ = 159.37°
Element x y z (fractional)
Se 0.5647 0.4353 0.2539
Se 0.4353 0.5647 0.2539
Ni 0.5000 0.5000 0.6058
Ni 0.0000 0.0000 0.0577
S 0.9366 0.0634 0.7423
S 0.0634 0.9366 0.7423

Calculated values
- Mass density: 2818 kg/m³
- Calculated volume: 33.3 Å³/atom
- SG: Cmm2

Which of them is the least stable? Correct choice: arrangement iii.